## Li4SbPd4 (PBE-GGA)

Data for crystalline Li4SbPd4 at its relaxed geometry.

Cell and atoms, written as extended XYZ:
```
9
Lattice="-1.695 1.471 3.486 -3.480 -4.278 2.579 3.665 -1.136 4.726" Properties=species:S:1:pos:R:3 pbc="T T T"
Sb 0.000 0.000 0.000
Pd -1.132 -3.245 3.285
Pd -0.377 -0.697 7.507
Pd -1.077 -0.790 4.741
Pd -0.432 -3.152 6.051
Li -2.243 -4.021 8.003
Li -3.404 -1.785 4.029
Li 0.734 0.079 2.789
Li 1.895 -2.157 6.762
```

Values from the calculation:
The space-group type is I4/mmm. As for the total energy: -37.1 eV/f.u.